1.
# Al2Tl2Cd (PBE, relaxed)
data_Al2Tl2Cd
_space_group_name_H-M_alt 'I 4/m m m'
_space_group_IT_number 139
_space_group_name_Hall '-I 4 2'
_cell_length_a 4.634
_cell_length_b 4.634
_cell_length_c 12.297
_cell_angle_alpha 90.00
_cell_angle_beta 90.00
_cell_angle_gamma 90.00
loop_
_atom_site_label
_atom_site_type_symbol
_atom_site_fract_x
_atom_site_fract_y
_atom_site_fract_z
_atom_site_occupancy
Al1 Al 0.000 0.000 0.103 1
Tl1 Tl 0.000 0.500 0.250 1
Cd1 Cd 0.000 0.000 0.500 1
# calculated volume	26.40	A^3/atom
# ΔE to the lowest computed polymorph	125	meV per atom
# ρ	7.235	g/cm³

---

2.
# AlTlCd2 (PBE, relaxed)
data_AlTlCd2
_space_group_name_H-M_alt 'P m m m'
_space_group_IT_number 47
_cell_length_a 3.141
_cell_length_b 5.517
_cell_length_c 5.570
_cell_angle_alpha 90.00
_cell_angle_beta 90.00
_cell_angle_gamma 90.00
loop_
_space_group_symop_operation_xyz
'x,y,z'
'-x,-y,-z'
'-x,-y,z'
'x,y,-z'
'x,-y,-z'
'-x,y,z'
'-x,y,-z'
'x,-y,z'
loop_
_atom_site_label
_atom_site_type_symbol
_atom_site_fract_x
_atom_site_fract_y
_atom_site_fract_z
_atom_site_occupancy
Al1 Al 0.000 0.000 0.000 1
Tl1 Tl 0.500 0.000 0.500 1
Cd1 Cd 0.000 0.500 0.500 1
Cd2 Cd 0.500 0.500 0.000 1
# calculated volume	24.13	A^3/atom
# ΔE to the lowest computed polymorph	83	meV per atom
# ρ	7.849	g/cm³

---

3.
# AlTl2Cd2 (PBE, relaxed)
data_AlTl2Cd2
_space_group_name_H-M_alt 'P 4/m b m'
_space_group_IT_number 127
_space_group_name_Hall '-P 4 2ab'
_cell_length_a 8.071
_cell_length_b 8.071
_cell_length_c 4.186
_cell_angle_alpha 90.00
_cell_angle_beta 90.00
_cell_angle_gamma 90.00
loop_
_atom_site_label
_atom_site_type_symbol
_atom_site_fract_x
_atom_site_fract_y
_atom_site_fract_z
_atom_site_occupancy
Al1 Al 0.000 0.000 0.000 1
Tl1 Tl 0.163 0.337 0.000 1
Cd1 Cd 0.140 0.640 0.500 1
# calculated volume	27.27	A^3/atom
# ΔE to the lowest computed polymorph	88	meV per atom
# ρ	8.044	g/cm³

---

4.
# AlTlCd2 (PBE, relaxed)
data_AlTlCd2
_space_group_name_H-M_alt 'I 4/m m m'
_space_group_IT_number 139
_space_group_name_Hall '-I 4 2'
_cell_length_a 4.552
_cell_length_b 4.552
_cell_length_c 9.183
_cell_angle_alpha 90.00
_cell_angle_beta 90.00
_cell_angle_gamma 90.00
loop_
_atom_site_label
_atom_site_type_symbol
_atom_site_fract_x
_atom_site_fract_y
_atom_site_fract_z
_atom_site_occupancy
Al1 Al 0.000 0.000 0.000 1
Tl1 Tl 0.000 0.000 0.500 1
Cd1 Cd 0.000 0.500 0.250 1
# calculated volume	23.79	A^3/atom
# ΔE to the lowest computed polymorph	69	meV per atom
# ρ	7.962	g/cm³

---

5.
# AlTlCd2 (PBE, relaxed)
data_AlTlCd2
_space_group_name_H-M_alt 'I m m m'
_space_group_IT_number 71
_space_group_name_Hall '-I 2 2'
_cell_length_a 3.144
_cell_length_b 5.500
_cell_length_c 11.122
_cell_angle_alpha 90.00
_cell_angle_beta 90.00
_cell_angle_gamma 90.00
loop_
_atom_site_label
_atom_site_type_symbol
_atom_site_fract_x
_atom_site_fract_y
_atom_site_fract_z
_atom_site_occupancy
Al1 Al 0.000 0.000 0.000 1
Tl1 Tl 0.000 0.000 0.500 1
Cd1 Cd 0.000 0.500 0.275 1
# calculated volume	24.04	A^3/atom
# ΔE to the lowest computed polymorph	44	meV per atom
# ρ	7.879	g/cm³

---

6.
# Al2Tl2Cd (PBE, relaxed)
data_Al2Tl2Cd
_space_group_name_H-M_alt 'I 4/m m m'
_space_group_IT_number 139
_space_group_name_Hall '-I 4 2'
_cell_length_a 3.813
_cell_length_b 3.813
_cell_length_c 17.840
_cell_angle_alpha 90.00
_cell_angle_beta 90.00
_cell_angle_gamma 90.00
loop_
_atom_site_label
_atom_site_type_symbol
_atom_site_fract_x
_atom_site_fract_y
_atom_site_fract_z
_atom_site_occupancy
Al1 Al 0.000 0.500 0.250 1
Tl1 Tl 0.000 0.000 0.106 1
Cd1 Cd 0.000 0.000 0.500 1
# calculated volume	25.94	A^3/atom
# ΔE to the lowest computed polymorph	25	meV per atom
# ρ	7.364	g/cm³

---

7.
# AlTlCd2 (PBE, relaxed)
data_AlTlCd2
_space_group_name_H-M_alt 'I -4 2 d'
_space_group_IT_number 122
_space_group_name_Hall 'I -4 2bw'
_cell_length_a 4.300
_cell_length_b 4.300
_cell_length_c 21.469
_cell_angle_alpha 90.00
_cell_angle_beta 90.00
_cell_angle_gamma 90.00
loop_
_atom_site_label
_atom_site_type_symbol
_atom_site_fract_x
_atom_site_fract_y
_atom_site_fract_z
_atom_site_occupancy
Al1 Al 0.000 0.000 0.000 1
Tl1 Tl 0.000 0.000 0.500 1
Cd1 Cd 0.236 0.250 0.125 1
# calculated volume	24.81	A^3/atom
# ΔE to the lowest computed polymorph	103	meV per atom
# ρ	7.632	g/cm³

---

8.
# AlTlCd2 (PBE, relaxed)
data_AlTlCd2
_space_group_name_H-M_alt 'P 4/m m m'
_space_group_IT_number 123
_space_group_name_Hall '-P 4 2'
_cell_length_a 3.193
_cell_length_b 3.193
_cell_length_c 9.365
_cell_angle_alpha 90.00
_cell_angle_beta 90.00
_cell_angle_gamma 90.00
loop_
_atom_site_label
_atom_site_type_symbol
_atom_site_fract_x
_atom_site_fract_y
_atom_site_fract_z
_atom_site_occupancy
Al1 Al 0.000 0.000 0.000 1
Tl1 Tl 0.000 0.000 0.500 1
Cd1 Cd 0.500 0.500 0.216 1
# calculated volume	23.87	A^3/atom
# ΔE to the lowest computed polymorph	12	meV per atom
# ρ	7.933	g/cm³

---

9.
# AlTlCd4 (PBE, relaxed)
data_AlTlCd4
_space_group_name_H-M_alt 'F -4 3 m'
_space_group_IT_number 216
_space_group_name_Hall 'F -4 2 3'
_cell_length_a 8.411
_cell_length_b 8.411
_cell_length_c 8.411
_cell_angle_alpha 90.00
_cell_angle_beta 90.00
_cell_angle_gamma 90.00
loop_
_atom_site_label
_atom_site_type_symbol
_atom_site_fract_x
_atom_site_fract_y
_atom_site_fract_z
_atom_site_occupancy
Al1 Al 0.000 0.000 0.000 1
Tl1 Tl 0.250 0.250 0.250 1
Cd1 Cd 0.125 0.125 0.625 1
# calculated volume	24.79	A^3/atom
# electronic total energy	-8.634	eV per formula unit
# ρ	7.601	g/cm³

---

10.
# Al2TlCd (PBE, relaxed)
data_Al2TlCd
_space_group_name_H-M_alt 'P m m m'
_space_group_IT_number 47
_cell_length_a 3.020
_cell_length_b 5.460
_cell_length_c 5.479
_cell_angle_alpha 90.00
_cell_angle_beta 90.00
_cell_angle_gamma 90.00
loop_
_space_group_symop_operation_xyz
'x,y,z'
'-x,-y,-z'
'-x,-y,z'
'x,y,-z'
'x,-y,-z'
'-x,y,z'
'-x,y,-z'
'x,-y,z'
loop_
_atom_site_label
_atom_site_type_symbol
_atom_site_fract_x
_atom_site_fract_y
_atom_site_fract_z
_atom_site_occupancy
Al1 Al 0.000 0.000 0.000 1
Al2 Al 0.500 0.500 0.000 1
Tl1 Tl 0.000 0.500 0.500 1
Cd1 Cd 0.500 0.000 0.500 1
# calculated volume	22.59	A^3/atom
# electronic total energy	-9.721	eV per formula unit
# ρ	6.814	g/cm³

---

11.
# AlTlCd2 (PBE, relaxed)
data_AlTlCd2
_space_group_name_H-M_alt 'I -4 m 2'
_space_group_IT_number 119
_space_group_name_Hall 'I -4 -2'
_cell_length_a 4.573
_cell_length_b 4.573
_cell_length_c 9.031
_cell_angle_alpha 90.00
_cell_angle_beta 90.00
_cell_angle_gamma 90.00
loop_
_atom_site_label
_atom_site_type_symbol
_atom_site_fract_x
_atom_site_fract_y
_atom_site_fract_z
_atom_site_occupancy
Al1 Al 0.000 0.000 0.000 1
Tl1 Tl 0.000 0.500 0.250 1
Cd1 Cd 0.000 0.000 0.500 1
Cd2 Cd 0.000 0.500 0.750 1
# calculated volume	23.60	A^3/atom
# ΔE to the lowest computed polymorph	72	meV per atom
# ρ	8.024	g/cm³

---

12.
# AlTlCd2 (PBE, relaxed)
data_AlTlCd2
_space_group_name_H-M_alt 'P m m 2'
_space_group_IT_number 25
_cell_length_a 3.077
_cell_length_b 4.341
_cell_length_c 7.134
_cell_angle_alpha 90.00
_cell_angle_beta 90.00
_cell_angle_gamma 90.00
loop_
_space_group_symop_operation_xyz
'x,y,z'
'-x,-y,z'
'-x,y,z'
'x,-y,z'
loop_
_atom_site_label
_atom_site_type_symbol
_atom_site_fract_x
_atom_site_fract_y
_atom_site_fract_z
_atom_site_occupancy
Al1 Al 0.000 0.000 0.000 1
Tl1 Tl 0.500 0.500 0.732 1
Cd1 Cd 0.000 0.000 0.443 1
Cd2 Cd 0.500 0.500 0.204 1
# calculated volume	23.82	A^3/atom
# ΔE to the lowest computed polymorph	42	meV per atom
# ρ	7.951	g/cm³